1.
A relaxed structure of TbZn2Pd2Au, computed with PBE.

Output
N(E_F), states/eV per cell: 3.620
DFT total energy, eV/atom: -3.67
Total magnetic moment, Bohr magnetons per cell: 0.00

abc: 4.7436 4.7436 5.5835
angles: 90.00 90.00 90.00
Space group P4/mmm (No. 123)
Symmetry-distinct sites (fractional):
Tb 0.0000 0.0000 0.0000 x1
Zn 0.0000 0.5000 0.5000 x2
Pd 0.5000 0.5000 0.2439 x2
Au 0.0000 0.0000 0.5000 x1

2.
A relaxed structure of Rb3Pu2ZnTe6, computed with PBE.

Output
N(E_F), states/eV per cell: 48.649
Formation energy without anion corrections, eV/atom: -0.86
DFT total energy, eV/atom: -5.17
Total magnetic moment, Bohr magnetons per cell: 18.00

abc: 7.8584 13.5898 8.8316
angles: 90.00 107.33 90.00
Space group C2/m (No. 12)
Symmetry-distinct sites (fractional):
Rb 0.0000 0.0000 0.0000 x2
Rb 0.0000 0.3311 0.0000 x4
Pu 0.0000 0.1664 0.5000 x4
Zn 0.0000 0.5000 0.5000 x2
Te 0.2244 0.3390 0.6900 x8
Te 0.2399 0.0000 0.6924 x4

3.
A relaxed structure of Y2ZrSe, computed with PBE.

Output
N(E_F), states/eV per cell: 25.288
Formation energy without anion corrections, eV/atom: 0.01
DFT total energy, eV/atom: -6.23
Total magnetic moment, Bohr magnetons per cell: 6.95

abc: 7.3388 7.3388 7.3388
angles: 90.00 90.00 90.00
Space group F-43m (No. 216)
Symmetry-distinct sites (fractional):
Y 0.0000 0.0000 0.0000 x4
Y 0.2500 0.2500 0.2500 x4
Zr 0.0000 0.0000 0.5000 x4
Se 0.2500 0.2500 0.7500 x4

4.
A relaxed structure of PrTm2Th, computed with PBE.

Output
N(E_F), states/eV per cell: 30.895
DFT total energy, eV/atom: -5.17
Excess energy over the best structure of this formula in the dataset, eV/f.u.: 0.42
Total magnetic moment, Bohr magnetons per cell: 0.00

abc: 8.0243 8.0243 8.0243
angles: 90.00 90.00 90.00
Space group Fm-3m (No. 225)
Symmetry-distinct sites (fractional):
Pr 0.0000 0.0000 0.0000 x4
Tm 0.2500 0.2500 0.2500 x8
Th 0.0000 0.0000 0.5000 x4

5.
A relaxed structure of LaOs5, computed with PBE.

Output
N(E_F), states/eV per cell: 12.737
DFT total energy, eV/atom: -9.79
Total magnetic moment, Bohr magnetons per cell: 0.00

abc: 4.0339 12.6353 4.0235
angles: 90.00 90.00 90.00
Space group Cmmm (No. 65)
Symmetry-distinct sites (fractional):
La 0.0000 0.0000 0.0000 x2
Os 0.0000 0.1853 0.5000 x4
Os 0.0000 0.3139 0.0000 x4
Os 0.0000 0.5000 0.5000 x2

6.
A relaxed structure of NbZn3O3, computed with PBE.

Output
N(E_F), states/eV per cell: 15.348
Formation energy without anion corrections, eV/atom: -0.37
DFT total energy, eV/atom: -4.48
Total magnetic moment, Bohr magnetons per cell: 8.97

abc: 5.8064 5.8064 5.8064
angles: 90.00 90.00 90.00
Space group Pm-3n (No. 223)
Symmetry-distinct sites (fractional):
Nb 0.0000 0.0000 0.0000 x2
Zn 0.0000 0.2500 0.5000 x6
O 0.0000 0.5000 0.2500 x6